The following is a DFT calculation (PBE) of a relaxed K3CdW crystal.

## Properties
V (Å³/atom): 63.01
Raw total energy (Ry/atom): -0.151
DFT formation energy (eV per atom): 1.378
Space-group type: No. 221
Spin magnetization (μB/cell): 6.4

Cell lengths 6.8043, 6.8043, 6.8043 Å; angles 90.00, 90.00, 90.00 degrees
Sites, in units of the cell vectors:
Cd 0.5000 0.5000 0.5000
K 0.0000 0.5000 0.0000
K 0.5000 0.0000 0.0000
K 0.0000 0.0000 0.5000
W 0.0000 0.0000 0.0000

***

The following is a DFT calculation (PBE) of a relaxed Mn2AlCr crystal.

## Properties
V (Å³/atom): 12.56
Raw total energy (Ry/atom): -0.587
DFT formation energy (eV per atom): -0.058
Space-group type: No. 216
Spin magnetization (μB/cell): 1.0

Cell lengths 4.1417, 4.1417, 4.1417 Å; angles 60.00, 60.00, 60.00 degrees
Sites, in units of the cell vectors:
Cr 0.7500 0.7500 0.7500
Al 0.5000 0.5000 0.5000
Mn 0.2500 0.2500 0.2500
Mn 0.0000 0.0000 0.0000

***

Which formula does entry 2 have?
Mn2AlCr

***

Copy entry 2 word for word.
The following is a DFT calculation (PBE) of a relaxed Mn2AlCr crystal.

## Properties
V (Å³/atom): 12.56
Raw total energy (Ry/atom): -0.587
DFT formation energy (eV per atom): -0.058
Space-group type: No. 216
Spin magnetization (μB/cell): 1.0

Cell lengths 4.1417, 4.1417, 4.1417 Å; angles 60.00, 60.00, 60.00 degrees
Sites, in units of the cell vectors:
Cr 0.7500 0.7500 0.7500
Al 0.5000 0.5000 0.5000
Mn 0.2500 0.2500 0.2500
Mn 0.0000 0.0000 0.0000

***

DFT formation energy of number 2 (Mn2AlCr)?
-0.058 eV per atom